[1]
First-principles (GGA-PBE) data for an optimized crystal structure of AgPSe3, as listed in the Alexandria database.

Summary:
**Total DFT energy (no corrections)**: -2.680 eV per atom
**Formation energy (no corrections)**: 1.063 eV per atom
**DOS at the Fermi energy**: 5.83 states/eV/f.u.

Cell: 5.005 5.005 5.005 Å, 90.00 90.00 90.00°
Space group Pm-3m (No. 221)
One atom of each set of equivalent atoms:
Ag (0.000, 0.000, 0.000) (multiplicity 1)
P (0.500, 0.500, 0.500) (multiplicity 1)
Se (0.000, 0.000, 0.500) (multiplicity 3)

[2]
First-principles (GGA-PBE) data for an optimized crystal structure of Ag2P2Se5, as listed in the Alexandria database.

Summary:
**Total DFT energy (no corrections)**: -3.692 eV per atom
**Formation energy (no corrections)**: 0.080 eV per atom
**DOS at the Fermi energy**: 2.23 states/eV/f.u.

Cell: 14.521 4.734 6.500 Å, 90.00 102.47 90.00°
Space group C2/m (No. 12)
One atom of each set of equivalent atoms:
Ag (0.185, 0.000, 0.459) (multiplicity 4)
P (0.161, 0.500, 0.909) (multiplicity 4)
Se (0.000, 0.500, 0.000) (multiplicity 2)
Se (0.119, 0.500, 0.551) (multiplicity 4)
Se (0.156, 0.000, 0.017) (multiplicity 4)

[3]
First-principles (GGA-PBE) data for an optimized crystal structure of Ag3P5Se12, as listed in the Alexandria database.

Summary:
**Total DFT energy (no corrections)**: -3.756 eV per atom
**Formation energy (no corrections)**: 0.115 eV per atom
**DOS at the Fermi energy**: 3.48 states/eV/f.u.

Cell: 15.595 15.595 15.595 Å, 90.00 90.00 90.00°
Space group Ia-3d (No. 230)
One atom of each set of equivalent atoms:
Ag (0.000, 0.250, 0.125) (multiplicity 24)
P (0.000, 0.000, 0.000) (multiplicity 16)
P (0.000, 0.250, 0.375) (multiplicity 24)
Se (0.029, 0.056, 0.653) (multiplicity 96)

[4]
First-principles (GGA-PBE) data for an optimized crystal structure of AgPSe3, as listed in the Alexandria database.

Summary:
**Total DFT energy (no corrections)**: -3.267 eV per atom
**Formation energy (no corrections)**: 0.476 eV per atom
**DOS at the Fermi energy**: 3.78 states/eV/f.u.

Cell: 4.864 4.864 4.864 Å, 90.00 90.00 90.00°
Space group Pm-3m (No. 221)
One atom of each set of equivalent atoms:
Ag (0.000, 0.000, 0.000) (multiplicity 1)
P (0.500, 0.500, 0.500) (multiplicity 1)
Se (0.000, 0.500, 0.500) (multiplicity 3)

[5]
First-principles (GGA-PBE) data for an optimized crystal structure of AgPSe3, as listed in the Alexandria database.

Summary:
**Total DFT energy (no corrections)**: -3.757 eV per atom
**Formation energy (no corrections)**: -0.014 eV per atom
**DOS at the Fermi energy**: 1.46 states/eV/f.u.

Cell: 6.816 6.781 11.711 Å, 90.00 112.17 90.00°
Space group P2_1/c (No. 14)
One atom of each set of equivalent atoms:
Ag (0.196, 0.123, 0.171) (multiplicity 4)
P (0.378, 0.611, 0.443) (multiplicity 4)
Se (0.129, 0.046, 0.782) (multiplicity 4)
Se (0.215, 0.719, 0.562) (multiplicity 4)
Se (0.444, 0.148, 0.602) (multiplicity 4)

[6]
First-principles (GGA-PBE) data for an optimized crystal structure of Ag2PSe, as listed in the Alexandria database.

Summary:
**Total DFT energy (no corrections)**: -3.284 eV per atom
**Formation energy (no corrections)**: 0.365 eV per atom
**DOS at the Fermi energy**: 1.61 states/eV/f.u.

Cell: 3.611 4.696 8.769 Å, 90.00 90.00 90.00°
Space group Immm (No. 71)
One atom of each set of equivalent atoms:
Ag (0.000, 0.000, 0.236) (multiplicity 4)
P (0.000, 0.500, 0.500) (multiplicity 2)
Se (0.000, 0.500, 0.000) (multiplicity 2)

[7]
First-principles (GGA-PBE) data for an optimized crystal structure of Ag3PSe, as listed in the Alexandria database.

Summary:
**Total DFT energy (no corrections)**: -3.128 eV per atom
**Formation energy (no corrections)**: 0.361 eV per atom
**DOS at the Fermi energy**: 4.32 states/eV/f.u.

Cell: 4.796 4.796 4.796 Å, 90.00 90.00 90.00°
Space group Pm-3m (No. 221)
One atom of each set of equivalent atoms:
Ag (0.000, 0.000, 0.500) (multiplicity 3)
P (0.000, 0.000, 0.000) (multiplicity 1)
Se (0.500, 0.500, 0.500) (multiplicity 1)

[8]
First-principles (GGA-PBE) data for an optimized crystal structure of Ag2PSe4, as listed in the Alexandria database.

Summary:
**Total DFT energy (no corrections)**: -3.573 eV per atom
**Formation energy (no corrections)**: 0.006 eV per atom
**DOS at the Fermi energy**: 4.22 states/eV/f.u.

Cell: 7.302 7.456 7.304 Å, 90.00 119.95 90.00°
Space group P2_1/m (No. 11)
One atom of each set of equivalent atoms:
Ag (0.161, 0.250, 0.035) (multiplicity 2)
Ag (0.163, 0.250, 0.627) (multiplicity 2)
P (0.253, 0.750, 0.876) (multiplicity 2)
Se (0.007, 0.032, 0.254) (multiplicity 4)
Se (0.423, 0.750, 0.221) (multiplicity 2)
Se (0.425, 0.750, 0.703) (multiplicity 2)

[9]
First-principles (GGA-PBE) data for an optimized crystal structure of Ag2PSe, as listed in the Alexandria database.

Summary:
**Total DFT energy (no corrections)**: -3.419 eV per atom
**Formation energy (no corrections)**: 0.231 eV per atom
**DOS at the Fermi energy**: 1.85 states/eV/f.u.

Cell: 6.636 3.819 6.522 Å, 90.00 109.98 90.00°
Space group C2/m (No. 12)
One atom of each set of equivalent atoms:
Ag (0.243, 0.000, 0.230) (multiplicity 4)
P (0.000, 0.500, 0.000) (multiplicity 2)
Se (0.000, 0.000, 0.500) (multiplicity 2)

[10]
First-principles (GGA-PBE) data for an optimized crystal structure of Ag2PSe, as listed in the Alexandria database.

Summary:
**Total DFT energy (no corrections)**: -3.519 eV per atom
**Formation energy (no corrections)**: 0.130 eV per atom
**DOS at the Fermi energy**: 0.87 states/eV/f.u.

Cell: 11.400 3.636 3.922 Å, 90.00 101.45 90.00°
Space group Cm (No. 8)
One atom of each set of equivalent atoms:
Ag (0.000, 0.000, 0.000) (multiplicity 2)
Ag (0.200, 0.500, 0.933) (multiplicity 2)
P (0.485, 0.000, 0.479) (multiplicity 2)
Se (0.284, 0.000, 0.474) (multiplicity 2)

[11]
First-principles (GGA-PBE) data for an optimized crystal structure of Ag2PSe, as listed in the Alexandria database.

Summary:
**Total DFT energy (no corrections)**: -3.129 eV per atom
**Formation energy (no corrections)**: 0.520 eV per atom
**DOS at the Fermi energy**: 3.31 states/eV/f.u.

Cell: 6.691 6.691 6.691 Å, 90.00 90.00 90.00°
Space group F-43m (No. 216)
One atom of each set of equivalent atoms:
Ag (0.000, 0.000, 0.000) (multiplicity 4)
Ag (0.250, 0.250, 0.250) (multiplicity 4)
P (0.000, 0.000, 0.500) (multiplicity 4)
Se (0.250, 0.250, 0.750) (multiplicity 4)

[12]
First-principles (GGA-PBE) data for an optimized crystal structure of Ag2PSe, as listed in the Alexandria database.

Summary:
**Total DFT energy (no corrections)**: -3.264 eV per atom
**Formation energy (no corrections)**: 0.385 eV per atom
**DOS at the Fermi energy**: 2.58 states/eV/f.u.

Cell: 5.902 8.590 2.933 Å, 90.00 90.00 90.00°
Space group Cmmm (No. 65)
One atom of each set of equivalent atoms:
Ag (0.250, 0.250, 0.000) (multiplicity 4)
P (0.000, 0.000, 0.500) (multiplicity 2)
Se (0.000, 0.500, 0.500) (multiplicity 2)

[13]
First-principles (GGA-PBE) data for an optimized crystal structure of AgP5Se8, as listed in the Alexandria database.

Summary:
**Total DFT energy (no corrections)**: -3.918 eV per atom
**Formation energy (no corrections)**: 0.209 eV per atom
**DOS at the Fermi energy**: 2.67 states/eV/f.u.

Cell: 6.095 6.095 9.658 Å, 90.00 90.00 90.00°
Space group P-42m (No. 111)
One atom of each set of equivalent atoms:
Ag (0.000, 0.000, 0.000) (multiplicity 1)
P (0.000, 0.500, 0.263) (multiplicity 4)
P (0.500, 0.500, 0.500) (multiplicity 1)
Se (0.233, 0.233, 0.623) (multiplicity 4)
Se (0.259, 0.259, 0.154) (multiplicity 4)

[14]
First-principles (GGA-PBE) data for an optimized crystal structure of Ag2P2Se, as listed in the Alexandria database.

Summary:
**Total DFT energy (no corrections)**: -3.590 eV per atom
**Formation energy (no corrections)**: 0.411 eV per atom
**DOS at the Fermi energy**: 3.13 states/eV/f.u.

Cell: 4.477 4.477 9.649 Å, 90.00 90.00 90.00°
Space group I4/mmm (No. 139)
One atom of each set of equivalent atoms:
Ag (0.000, 0.500, 0.250) (multiplicity 4)
P (0.000, 0.000, 0.110) (multiplicity 4)
Se (0.000, 0.000, 0.500) (multiplicity 2)

[15]
First-principles (GGA-PBE) data for an optimized crystal structure of Ag2PSe, as listed in the Alexandria database.

Summary:
**Total DFT energy (no corrections)**: -3.240 eV per atom
**Formation energy (no corrections)**: 0.409 eV per atom
**DOS at the Fermi energy**: 2.62 states/eV/f.u.

Cell: 2.9182 2.9182 30.9799 Å, 90.00 90.00 120.00°
Space group R3m (No. 160, hexagonal axes)
One atom of each set of equivalent atoms:
Ag (0.0000, 0.0000, 0.0000) (multiplicity 3)
Ag (0.0000, 0.0000, 0.2559) (multiplicity 3)
P (0.0000, 0.0000, 0.7342) (multiplicity 3)
Se (0.0000, 0.0000, 0.5083) (multiplicity 3)

[16]
First-principles (GGA-PBE) data for an optimized crystal structure of Ag2PSe, as listed in the Alexandria database.

Summary:
**Total DFT energy (no corrections)**: -3.403 eV per atom
**Formation energy (no corrections)**: 0.246 eV per atom
**DOS at the Fermi energy**: 1.54 states/eV/f.u.

Cell: 4.017 2.835 13.297 Å, 90.00 90.00 90.00°
Space group Amm2 (No. 38)
One atom of each set of equivalent atoms:
Ag (0.000, 0.000, 0.000) (multiplicity 2)
Ag (0.500, 0.000, 0.371) (multiplicity 2)
P (0.500, 0.000, 0.583) (multiplicity 2)
Se (0.000, 0.000, 0.755) (multiplicity 2)

[17]
First-principles (GGA-PBE) data for an optimized crystal structure of Ag2PSe, as listed in the Alexandria database.

Summary:
**Total DFT energy (no corrections)**: -3.307 eV per atom
**Formation energy (no corrections)**: 0.342 eV per atom
**DOS at the Fermi energy**: 2.48 states/eV/f.u.

Cell: 6.240 6.240 9.739 Å, 90.00 90.00 90.00°
Space group I-42d (No. 122)
One atom of each set of equivalent atoms:
Ag (0.225, 0.250, 0.125) (multiplicity 8)
P (0.000, 0.000, 0.000) (multiplicity 4)
Se (0.000, 0.000, 0.500) (multiplicity 4)

[18]
First-principles (GGA-PBE) data for an optimized crystal structure of Ag2PSe, as listed in the Alexandria database.

Summary:
**Total DFT energy (no corrections)**: -3.394 eV per atom
**Formation energy (no corrections)**: 0.255 eV per atom
**DOS at the Fermi energy**: 1.72 states/eV/f.u.

Cell: 2.901 3.479 7.538 Å, 90.00 90.00 90.00°
Space group Pmmm (No. 47)
One atom of each set of equivalent atoms:
Ag (0.000, 0.000, 0.212) (multiplicity 2)
P (0.500, 0.500, 0.000) (multiplicity 1)
Se (0.000, 0.500, 0.500) (multiplicity 1)

[19]
First-principles (GGA-PBE) data for an optimized crystal structure of Ag2PSe, as listed in the Alexandria database.

Summary:
**Total DFT energy (no corrections)**: -3.259 eV per atom
**Formation energy (no corrections)**: 0.391 eV per atom
**DOS at the Fermi energy**: 1.72 states/eV/f.u.

Cell: 4.014 4.014 9.218 Å, 90.00 90.00 90.00°
Space group I-4m2 (No. 119)
One atom of each set of equivalent atoms:
Ag (0.000, 0.000, 0.000) (multiplicity 2)
Ag (0.000, 0.500, 0.250) (multiplicity 2)
P (0.000, 0.500, 0.750) (multiplicity 2)
Se (0.000, 0.000, 0.500) (multiplicity 2)

[20]
First-principles (GGA-PBE) data for an optimized crystal structure of Ag2PSe, as listed in the Alexandria database.

Summary:
**Total DFT energy (no corrections)**: -3.279 eV per atom
**Formation energy (no corrections)**: 0.370 eV per atom
**DOS at the Fermi energy**: 2.25 states/eV/f.u.

Cell: 4.196 4.196 4.216 Å, 90.00 90.00 90.00°
Space group P4/mmm (No. 123)
One atom of each set of equivalent atoms:
Ag (0.000, 0.500, 0.000) (multiplicity 2)
P (0.000, 0.000, 0.500) (multiplicity 1)
Se (0.500, 0.500, 0.500) (multiplicity 1)